Record 1
# PBE NdY6In2, relaxed
# formation energy = -0.2161 eV per atom
data_NdY6In2
_chemical_formula_sum 'Nd2 Y12 In4'
_cell_length_a 12.786
_cell_length_b 3.775
_cell_length_c 12.057
_cell_angle_alpha 90.00
_cell_angle_beta 107.62
_cell_angle_gamma 90.00
_symmetry_space_group_name_H-M 'C 1 2/m 1'
_symmetry_Int_Tables_number 12
loop_
_symmetry_equiv_pos_as_xyz
'x,y,z'
'-x,-y,-z'
'-x,y,-z'
'x,-y,z'
'x+1/2,y+1/2,z'
'-x+1/2,-y+1/2,-z'
'-x+1/2,y+1/2,-z'
'x+1/2,-y+1/2,z'
loop_
_atom_site_label
_atom_site_fract_x
_atom_site_fract_y
_atom_site_fract_z
_atom_site_occupancy
Nd1 0.000 0.000 0.000 1
Y1 0.014 0.000 0.344 1
Y2 0.187 0.500 0.875 1
Y3 0.191 0.500 0.584 1
In1 0.145 0.500 0.214 1



Record 2
# PBE NaPaRuN3, relaxed
# energy relative to the elements, uncorrected = -0.63 eV/atom
data_NaPaRuN3
_chemical_formula_sum 'Na2 Pa2 Ru2 N6'
_cell_length_a 7.023
_cell_length_b 3.501
_cell_length_c 8.806
_cell_angle_alpha 90.00
_cell_angle_beta 101.82
_cell_angle_gamma 90.00
_symmetry_space_group_name_H-M 'P 1 21/m 1'
_symmetry_Int_Tables_number 11
loop_
_symmetry_equiv_pos_as_xyz
'x,y,z'
'-x,-y,-z'
'-x,y+1/2,-z'
'x,-y+1/2,z'
loop_
_atom_site_label
_atom_site_fract_x
_atom_site_fract_y
_atom_site_fract_z
_atom_site_occupancy
Na1 0.161 0.250 0.143 1
Pa1 0.344 0.750 0.846 1
Ru1 0.028 0.250 0.611 1
N1 0.128 0.250 0.842 1
N2 0.168 0.750 0.587 1
N3 0.447 0.750 0.111 1



Record 3
# PBE AcSnTe2Se, relaxed
# energy relative to the elements, uncorrected = -1.00 eV/atom
data_AcSnTe2Se
_chemical_formula_sum 'Ac2 Sn2 Te4 Se2'
_cell_length_a 4.553
_cell_length_b 4.553
_cell_length_c 15.646
_cell_angle_alpha 90.00
_cell_angle_beta 90.00
_cell_angle_gamma 90.00
_symmetry_space_group_name_H-M 'P 4/n m m'
_symmetry_Int_Tables_number 129
loop_
_symmetry_equiv_pos_as_xyz
'x,y,z'
'-x,-y,-z'
'-y+1/2,x,z'
'y+1/2,-x,-z'
'-x+1/2,-y+1/2,z'
'x+1/2,y+1/2,-z'
'y,-x+1/2,z'
'-y,x+1/2,-z'
'x+1/2,-y,-z'
'-x+1/2,y,z'
'-y,-x,-z'
'y,x,z'
'-x,y+1/2,-z'
'x,-y+1/2,z'
'y+1/2,x+1/2,-z'
'-y+1/2,-x+1/2,z'
loop_
_atom_site_label
_atom_site_fract_x
_atom_site_fract_y
_atom_site_fract_z
_atom_site_occupancy
Ac1 0.250 0.250 0.144 1
Sn1 0.250 0.250 0.594 1
Te1 0.250 0.250 0.386 1
Te2 0.250 0.250 0.788 1
Se1 0.250 0.750 0.000 1



Record 4
# PBE ZrP2CS, relaxed
# energy relative to the elements, uncorrected = 1.58 eV/atom
# relative energy among the computed polymorphs = 1104 meV per atom
data_ZrP2CS
_chemical_formula_sum 'Zr1 P2 C1 S1'
_cell_length_a 5.088
_cell_length_b 5.088
_cell_length_c 4.888
_cell_angle_alpha 90.00
_cell_angle_beta 90.00
_cell_angle_gamma 90.00
_symmetry_space_group_name_H-M 'P 4/m m m'
_symmetry_Int_Tables_number 123
_symmetry_space_group_name_Hall '-P 4 2'
loop_
_atom_site_label
_atom_site_fract_x
_atom_site_fract_y
_atom_site_fract_z
_atom_site_occupancy
Zr1 0.000 0.000 0.000 1
P1 0.000 0.500 0.000 1
C1 0.500 0.500 0.500 1
S1 0.000 0.000 0.500 1



The evaluated density for the records listed, in turn: 5.43, 6.22, 6.96, 2.59 g/cm3.